Below is an optimized crystal structure of Rb3MnBr5, with properties calculated at the PBE level.

Geometry as POSCAR:
```
Rb3MnBr5
1.0
-4.726 4.726 7.670
4.726 -4.726 7.670
4.726 4.726 -7.670
Rb Mn Br
6 2 10
Direct
0.162 0.662 0.823
0.250 0.250 0.000
0.338 0.162 0.500
0.662 0.838 0.500
0.750 0.750 0.000
0.838 0.338 0.177
0.250 0.750 0.500
0.750 0.250 0.500
0.000 0.000 0.000
0.004 0.797 0.500
0.203 0.703 0.207
0.297 0.504 0.500
0.496 0.996 0.793
0.500 0.500 0.000
0.504 0.004 0.207
0.703 0.496 0.500
0.797 0.297 0.793
0.996 0.203 0.500
```

Summary:
DFT total energy = -3.72 eV per atom
SG = I4/mcm
Formation energy without anion corrections = -1.447 eV/atom


Below is an optimized crystal structure of RbMn3Br, with properties calculated at the PBE level.

Geometry as POSCAR:
```
RbMn3Br
1.0
6.296 0.000 0.000
0.000 6.296 0.000
0.000 0.000 6.296
Rb Mn Br
1 3 1
Direct
0.000 0.000 0.000
0.000 0.000 0.500
0.000 0.500 0.000
0.500 0.000 0.000
0.500 0.500 0.500
```

Summary:
Energy relative to the lowest polymorph listed for this composition = 0.7140 eV per atom
DFT total energy = -4.11 eV per atom
SG = Pm-3m
Formation energy without anion corrections = 1.922 eV/atom


Below is an optimized crystal structure of RbMnBr3, with properties calculated at the PBE level.

Geometry as POSCAR:
```
RbMnBr3
1.0
6.766 -5.176 0.000
6.766 5.176 0.000
-0.160 0.000 5.410
Rb Mn Br
2 2 6
Direct
0.209 0.209 0.245
0.791 0.791 0.755
0.329 0.671 0.500
0.671 0.329 0.500
0.079 0.670 0.264
0.330 0.921 0.736
0.400 0.400 0.733
0.600 0.600 0.267
0.670 0.079 0.264
0.921 0.330 0.736
```

Summary:
DFT total energy = -4.21 eV per atom
SG = C2/m
Formation energy without anion corrections = -1.182 eV/atom


Below is an optimized crystal structure of Rb6Mn3Br14, with properties calculated at the PBE level.

Geometry as POSCAR:
```
Rb6Mn3Br14
1.0
12.196 0.000 0.000
-6.098 10.562 0.000
0.000 0.000 7.301
Rb Mn Br
6 3 14
Direct
0.048 0.465 0.000
0.281 0.201 0.528
0.417 0.952 0.000
0.535 0.583 0.000
0.799 0.080 0.528
0.920 0.719 0.528
0.000 0.000 0.100
0.333 0.667 0.581
0.667 0.333 0.747
0.000 0.000 0.758
0.059 0.214 0.226
0.155 0.941 0.226
0.188 0.736 0.712
0.264 0.452 0.712
0.333 0.667 0.239
0.477 0.268 0.943
0.541 0.144 0.553
0.548 0.812 0.712
0.603 0.459 0.553
0.732 0.210 0.943
0.786 0.845 0.226
0.790 0.523 0.943
0.856 0.397 0.553
```

Summary:
DFT total energy = -3.74 eV per atom
SG = P3
Formation energy without anion corrections = -1.270 eV/atom